Entry 1:
SrIr3I: optimized geometry, PBE.

Calculated values
Formation energy from raw total energies = 2.6768 eV/atom
Relative energy among the computed polymorphs = 1534.1 meV/atom

Cell: 5.151 5.151 5.151 Å, 90.00 90.00 90.00°
Positions (direct):
I (0.500, 0.500, 0.500)
Sr (0.000, 0.000, 0.000)
Ir (0.000, 0.500, 0.000)
Ir (0.000, 0.000, 0.500)
Ir (0.500, 0.000, 0.000)



Entry 2:
SrIrI: optimized geometry, PBE.

Calculated values
Formation energy from raw total energies = -0.5430 eV/atom
Relative energy among the computed polymorphs = 310.9 meV/atom

Cell: 4.420 5.939 9.472 Å, 71.75 76.51 68.15°
Positions (direct):
I (0.645, 0.359, 0.884)
I (0.450, 0.121, 0.513)
Sr (0.050, 0.247, 0.186)
Sr (0.127, 0.655, 0.624)
Ir (0.301, 0.618, 0.314)
Ir (0.718, 0.770, 0.328)



Entry 3:
Sr5IrI5: optimized geometry, PBE.

Calculated values
Formation energy from raw total energies = -1.1878 eV/atom

Cell: 6.506 8.563 9.448 Å, 107.48 90.00 112.33°
Positions (direct):
Sr (0.867, 0.735, 0.145)
Sr (0.862, 0.725, 0.709)
Sr (0.500, 0.000, 0.000)
Sr (0.138, 0.275, 0.291)
Sr (0.133, 0.265, 0.855)
Ir (0.000, 0.000, 0.000)
I (0.704, 0.407, 0.339)
I (0.682, 0.364, 0.837)
I (0.000, 0.000, 0.500)
I (0.318, 0.636, 0.163)
I (0.296, 0.593, 0.661)



Entry 4:
Sr4IrI: optimized geometry, PBE.

Calculated values
Formation energy from raw total energies = -0.4690 eV/atom
Relative energy among the computed polymorphs = 10.7 meV/atom

Cell: 7.624 7.616 11.515 Å, 116.74 116.75 68.90°
Positions (direct):
Sr (0.941, 0.185, 0.904)
Sr (0.847, 0.611, 0.672)
Sr (0.463, 0.719, 0.904)
Sr (0.325, 0.061, 0.672)
Sr (0.675, 0.939, 0.328)
Sr (0.537, 0.281, 0.096)
Sr (0.153, 0.389, 0.328)
Sr (0.059, 0.815, 0.096)
Ir (0.312, 0.062, 0.125)
Ir (0.688, 0.938, 0.875)
I (0.447, 0.697, 0.395)
I (0.553, 0.303, 0.605)



Entry 5:
SrIrI: optimized geometry, PBE.

Calculated values
Formation energy from raw total energies = -0.3860 eV/atom
Relative energy among the computed polymorphs = 467.9 meV/atom

Cell: 6.205 8.447 6.205 Å, 54.71 89.00 125.29°
Positions (direct):
I (0.379, 0.435, 0.068)
I (0.838, 0.260, 0.609)
Sr (0.651, 0.802, 0.316)
Sr (0.131, 0.802, 0.796)
Ir (0.577, 0.309, 0.870)
Ir (0.122, 0.787, 0.325)



Entry 6:
SrIrI3: optimized geometry, PBE.

Calculated values
Formation energy from raw total energies = -0.4240 eV/atom

Cell: 5.488 5.488 5.488 Å, 90.00 90.00 90.00°
Positions (direct):
I (0.000, 0.500, 0.000)
I (0.000, 0.000, 0.500)
I (0.500, 0.000, 0.000)
Sr (0.500, 0.500, 0.500)
Ir (0.000, 0.000, 0.000)



Entry 7:
SrIrI: optimized geometry, PBE.

Calculated values
Formation energy from raw total energies = -0.7280 eV/atom
Relative energy among the computed polymorphs = 125.9 meV/atom

Cell: 4.269 4.552 10.106 Å, 77.13 90.02 90.00°
Positions (direct):
I (0.490, 0.873, 0.965)
I (0.990, 0.535, 0.651)
Sr (0.990, 0.289, 0.135)
Sr (0.490, 0.119, 0.481)
Ir (0.990, 0.674, 0.368)
Ir (0.490, 0.733, 0.249)



Entry 8:
SrIrI: optimized geometry, PBE.

Calculated values
Formation energy from raw total energies = -0.1685 eV/atom
Relative energy among the computed polymorphs = 685.5 meV/atom

Cell: 6.237 4.878 11.822 Å, 90.00 90.00 90.00°
Positions (direct):
I (0.175, 0.250, 0.846)
I (0.325, 0.750, 0.346)
I (0.825, 0.750, 0.154)
I (0.675, 0.250, 0.654)
Sr (0.757, 0.250, 0.378)
Sr (0.743, 0.750, 0.878)
Sr (0.243, 0.750, 0.622)
Sr (0.257, 0.250, 0.122)
Ir (0.238, 0.250, 0.394)
Ir (0.262, 0.750, 0.894)
Ir (0.762, 0.750, 0.606)
Ir (0.738, 0.250, 0.106)



Entry 9:
SrIrI: optimized geometry, PBE.

Calculated values
Formation energy from raw total energies = -0.5974 eV/atom
Relative energy among the computed polymorphs = 256.6 meV/atom

Cell: 4.372 6.148 8.851 Å, 82.51 104.30 69.17°
Positions (direct):
I (0.760, 0.582, 0.993)
I (0.826, 0.152, 0.694)
Sr (0.503, 0.137, 0.033)
Sr (0.030, 0.447, 0.398)
Ir (0.767, 0.985, 0.411)
Ir (0.254, 0.921, 0.320)



Entry 10:
SrIr3I: optimized geometry, PBE.

Calculated values
Formation energy from raw total energies = 1.1427 eV/atom
Relative energy among the computed polymorphs = 0.0 meV/atom

Cell: 4.955 4.955 4.955 Å, 90.00 90.00 90.00°
Positions (direct):
I (0.000, 0.000, 0.000)
Sr (0.500, 0.500, 0.500)
Ir (0.000, 0.500, 0.000)
Ir (0.000, 0.000, 0.500)
Ir (0.500, 0.000, 0.000)



Entry 11:
SrIrI: optimized geometry, PBE.

Calculated values
Formation energy from raw total energies = 0.4833 eV/atom
Relative energy among the computed polymorphs = 1337.2 meV/atom

Cell: 5.491 5.491 9.843 Å, 90.00 90.00 120.00°
Positions (direct):
I (0.000, 0.000, 0.250)
I (0.000, 0.000, 0.750)
Sr (0.333, 0.667, 0.250)
Sr (0.667, 0.333, 0.750)
Ir (0.000, 0.000, 0.000)
Ir (0.000, 0.000, 0.500)



Entry 12:
SrIrI: optimized geometry, PBE.

Calculated values
Formation energy from raw total energies = -0.8525 eV/atom
Relative energy among the computed polymorphs = 1.4 meV/atom

Cell: 12.897 4.284 4.284 Å, 61.33 99.53 99.30°
Positions (direct):
I (0.628, 0.156, 0.933)
I (0.937, 0.934, 0.696)
Sr (0.465, 0.441, 0.216)
Sr (0.101, 0.325, 0.090)
Ir (0.283, 0.059, 0.829)
Ir (0.283, 0.708, 0.479)



Entry 13:
SrIrI: optimized geometry, PBE.

Calculated values
Formation energy from raw total energies = -0.5879 eV/atom
Relative energy among the computed polymorphs = 266.1 meV/atom

Cell: 4.357 6.188 9.484 Å, 61.39 90.00 110.61°
Positions (direct):
I (0.943, 0.135, 0.914)
I (0.792, 0.833, 0.590)
Sr (0.407, 0.062, 0.231)
Sr (0.509, 0.267, 0.600)
Ir (0.101, 0.451, 0.306)
Ir (0.689, 0.626, 0.208)



Entry 14:
Sr4IrI3: optimized geometry, PBE.

Calculated values
Formation energy from raw total energies = -1.0124 eV/atom

Cell: 7.887 8.597 9.814 Å, 90.00 90.00 108.21°
Positions (direct):
I (0.750, 0.000, 0.402)
I (0.250, 0.000, 0.598)
I (0.750, 0.500, 0.610)
I (0.750, 0.500, 0.129)
I (0.250, 0.500, 0.390)
I (0.250, 0.500, 0.871)
Sr (0.955, 0.214, 0.680)
Sr (0.493, 0.194, 0.901)
Sr (0.455, 0.214, 0.320)
Sr (0.993, 0.194, 0.099)
Sr (0.007, 0.806, 0.901)
Sr (0.545, 0.786, 0.680)
Sr (0.507, 0.806, 0.099)
Sr (0.045, 0.786, 0.320)
Ir (0.750, 0.000, 0.884)
Ir (0.250, 0.000, 0.116)



Entry 15:
SrIrI: optimized geometry, PBE.

Calculated values
Formation energy from raw total energies = -0.8539 eV/atom
Relative energy among the computed polymorphs = 0.0 meV/atom

Cell: 12.965 4.286 4.286 Å, 118.70 88.99 100.78°
Positions (direct):
I (0.627, 0.300, 0.569)
I (0.939, 0.140, 0.052)
Sr (0.464, 0.848, 0.861)
Sr (0.102, 0.592, 0.760)
Ir (0.284, 0.396, 0.136)
Ir (0.282, 0.044, 0.486)



Entry 16:
Sr8Ir2I: optimized geometry, PBE.

Calculated values
Formation energy from raw total energies = -0.0822 eV/atom

Cell: 6.060 10.202 10.203 Å, 120.00 90.00 90.00°
Positions (direct):
Sr (0.247, 0.667, 0.333)
Sr (0.753, 0.333, 0.667)
Sr (0.741, 0.823, 0.175)
Sr (0.259, 0.175, 0.353)
Sr (0.259, 0.647, 0.823)
Sr (0.259, 0.177, 0.825)
Sr (0.741, 0.825, 0.647)
Sr (0.741, 0.353, 0.177)
Ir (0.247, 0.333, 0.667)
Ir (0.753, 0.667, 0.333)
I (0.000, 0.000, 0.000)



Entry 17:
SrIrI: optimized geometry, PBE.

Calculated values
Formation energy from raw total energies = 0.4038 eV/atom
Relative energy among the computed polymorphs = 1257.7 meV/atom

Cell: 4.950 4.950 4.950 Å, 60.00 60.00 60.00°
Positions (direct):
I (0.000, 0.000, 0.000)
Sr (0.750, 0.750, 0.750)
Ir (0.250, 0.250, 0.250)



Entry 18:
Sr4IrI: optimized geometry, PBE.

Calculated values
Formation energy from raw total energies = -0.4797 eV/atom
Relative energy among the computed polymorphs = 0.0 meV/atom

Cell: 7.650 8.491 9.780 Å, 108.69 105.36 106.90°
Positions (direct):
Sr (0.288, 0.020, 0.622)
Sr (0.073, 0.866, 0.116)
Sr (0.166, 0.398, 0.378)
Sr (0.457, 0.750, 0.884)
Sr (0.712, 0.980, 0.378)
Sr (0.834, 0.602, 0.622)
Sr (0.927, 0.134, 0.884)
Sr (0.543, 0.250, 0.116)
Ir (0.823, 0.073, 0.145)
Ir (0.177, 0.927, 0.855)
I (0.311, 0.561, 0.122)
I (0.689, 0.439, 0.878)



Entry 19:
Sr4IrI2: optimized geometry, PBE.

Calculated values
Formation energy from raw total energies = -0.6276 eV/atom

Cell: 5.911 5.911 9.503 Å, 71.88 71.88 90.00°
Positions (direct):
I (0.631, 0.631, 0.738)
I (0.369, 0.369, 0.262)
Sr (0.831, 0.831, 0.338)
Sr (0.169, 0.169, 0.662)
Sr (0.000, 0.500, 0.000)
Sr (0.500, 0.000, 0.000)
Ir (0.000, 0.000, 0.000)



Entry 20:
SrIrI: optimized geometry, PBE.

Calculated values
Formation energy from raw total energies = -0.3085 eV/atom
Relative energy among the computed polymorphs = 545.5 meV/atom

Cell: 5.880 11.313 10.918 Å, 136.94 70.63 145.22°
Positions (direct):
I (0.336, 0.261, 0.190)
I (0.909, 0.111, 0.753)
Sr (0.029, 0.041, 0.382)
Sr (0.994, 0.524, 0.864)
Ir (0.195, 0.805, 0.304)
Ir (0.996, 0.342, 0.441)



Entry 21:
SrIrI: optimized geometry, PBE.

Calculated values
Formation energy from raw total energies = -0.2478 eV/atom
Relative energy among the computed polymorphs = 606.1 meV/atom

Cell: 4.572 4.572 8.798 Å, 90.00 90.00 120.00°
Positions (direct):
I (0.333, 0.667, 0.250)
I (0.667, 0.333, 0.750)
Sr (0.000, 0.000, 0.000)
Sr (0.000, 0.000, 0.500)
Ir (0.333, 0.667, 0.750)
Ir (0.667, 0.333, 0.250)



Entry 22:
Sr2IrI: optimized geometry, PBE.

Calculated values
Formation energy from raw total energies = -0.3888 eV/atom
Relative energy among the computed polymorphs = 233.8 meV/atom

Cell: 8.093 8.093 7.347 Å, 56.58 56.58 90.00°
Positions (direct):
I (0.500, 0.500, 0.000)
I (0.250, 0.750, 0.500)
Sr (0.682, 0.125, 0.250)
Sr (0.068, 0.625, 0.250)
Sr (0.375, 0.318, 0.750)
Sr (0.875, 0.932, 0.750)
Ir (0.000, 0.000, 0.000)
Ir (0.750, 0.250, 0.500)



Entry 23:
SrIrI: optimized geometry, PBE.

Calculated values
Formation energy from raw total energies = -0.0353 eV/atom
Relative energy among the computed polymorphs = 818.7 meV/atom

Cell: 10.549 7.188 4.207 Å, 90.00 90.00 90.00°
Positions (direct):
I (0.000, 0.000, 0.000)
I (0.500, 0.500, 0.500)
I (0.500, 0.000, 0.500)
I (0.000, 0.500, 0.000)
Sr (0.713, 0.250, 0.000)
Sr (0.787, 0.750, 0.500)
Sr (0.287, 0.750, 0.000)
Sr (0.213, 0.250, 0.500)
Ir (0.424, 0.250, 0.000)
Ir (0.076, 0.750, 0.500)
Ir (0.576, 0.750, 0.000)
Ir (0.924, 0.250, 0.500)



Entry 24:
Sr2IrI: optimized geometry, PBE.

Calculated values
Formation energy from raw total energies = -0.6226 eV/atom
Relative energy among the computed polymorphs = 0.0 meV/atom

Cell: 3.783 3.783 8.369 Å, 90.00 90.00 90.00°
Positions (direct):
I (0.500, 0.500, 0.500)
Sr (0.000, 0.000, 0.795)
Sr (0.000, 0.000, 0.205)
Ir (0.500, 0.500, 0.000)